Compound: Pm3SmMg2
Source: Alexandria via LeMat-Bulk
Functional: PBE-GGA
Structure: optimized geometry

The structure in extended XYZ format:
```
6
Lattice="3.781 0.000 0.000 0.000 3.781 0.000 0.000 0.000 12.893" Properties=species:S:1:pos:R:3 pbc="T T T"
Pm 0.000 0.000 0.000
Pm 0.000 0.000 3.956
Pm 0.000 0.000 8.937
Sm 1.891 1.891 6.447
Mg 1.891 1.891 1.973
Mg 1.891 1.891 10.920
```

Values from the calculation:
total magnetization	0.00	μB per atom
crystal system	tetragonal
energy of formation from the pure elements	-0.06	eV per atom
symmetry	No. 123

Compound: CrIr2
Source: Alexandria via LeMat-Bulk
Functional: PBE-GGA
Structure: optimized geometry

The structure in extended XYZ format:
```
6
Lattice="1.359 -7.004 0.000 1.359 7.004 0.000 0.000 0.000 4.287" Properties=species:S:1:pos:R:3 pbc="T T T"
Cr 1.359 5.447 3.215
Cr 1.359 -5.447 1.072
Ir 1.359 3.867 1.072
Ir 1.359 0.778 3.215
Ir 1.359 -0.778 1.072
Ir 1.359 -3.867 3.215
```

Values from the calculation:
total magnetization	0.00	μB per atom
crystal system	orthorhombic
energy of formation from the pure elements	-0.21	eV per atom
symmetry	No. 63

Compound: Ca2YTeBr
Source: Alexandria via LeMat-Bulk
Functional: PBE-GGA
Structure: optimized geometry

The structure in extended XYZ format:
```
5
Lattice="6.445 0.000 0.000 0.000 6.445 0.000 0.000 0.000 5.264" Properties=species:S:1:pos:R:3 pbc="T T T"
Ca 0.000 3.222 0.000
Ca 3.222 0.000 0.000
Y 0.000 0.000 0.000
Te 3.222 3.222 2.632
Br 0.000 0.000 2.632
```

Values from the calculation:
total magnetization	0.23	μB per atom
crystal system	tetragonal
E_form (uncorrected)	-53	kJ/mol of formula units
symmetry	No. 123

no.,VASP energy (eV per cell)
1,-22.5
2,-56.0
3,-15.8